# Ac2DyAl4Au3 | the Alexandria database | PBE-GGA | optimized geometry
# **Final energy**: -4.37 eV/atom
# **Density of states at the Fermi level**: 6.752 states/eV/cell
# **Crystal system**: tetragonal
# **Calculated formation energy**: -0.61 eV per atom
data_Ac2DyAl4Au3
_cell_length_a 4.491
_cell_length_b 4.491
_cell_length_c 11.799
_cell_angle_alpha 90.00
_cell_angle_beta 90.00
_cell_angle_gamma 90.00
_space_group_name_H-M_alt 'P 1'
_space_group_IT_number 1
loop_
_space_group_symop_operation_xyz
'x,y,z'
loop_
_atom_site_label
_atom_site_fract_x
_atom_site_fract_y
_atom_site_fract_z
Ac1 0.000 0.500 0.234
Ac2 0.500 0.000 0.766
Dy1 0.000 0.000 0.500
Al1 0.000 0.000 0.000
Al2 0.000 0.500 0.663
Al3 0.500 0.000 0.337
Al4 0.500 0.500 0.000
Au1 0.000 0.500 0.882
Au2 0.500 0.000 0.118
Au3 0.500 0.500 0.500



# KSnHgAs | the Alexandria database | PBE-GGA | optimized geometry
# **Final energy**: -2.77 eV/atom
# **Density of states at the Fermi level**: 0.828 states/eV/cell
# **Crystal system**: orthorhombic
# **Calculated formation energy**: -0.26 eV per atom
data_KSnHgAs
_cell_length_a 6.841
_cell_length_b 6.841
_cell_length_c 6.841
_cell_angle_alpha 145.84
_cell_angle_beta 133.07
_cell_angle_gamma 59.32
_space_group_name_H-M_alt 'P 1'
_space_group_IT_number 1
loop_
_space_group_symop_operation_xyz
'x,y,z'
loop_
_atom_site_label
_atom_site_fract_x
_atom_site_fract_y
_atom_site_fract_z
K1 0.000 0.000 0.000
Sn1 0.721 0.221 0.500
Hg1 0.327 0.327 0.000
As1 0.574 0.574 0.000



# AcZnCdSi | the Alexandria database | PBE-GGA | optimized geometry
# **Final energy**: -3.05 eV/atom
# **ΔE_f (raw)**: -0.12 eV/atom
# **Density of states at the Fermi level**: 3.203 states/eV/cell
# **Crystal system**: cubic
data_AcZnCdSi
_cell_length_a 5.167
_cell_length_b 5.167
_cell_length_c 5.167
_cell_angle_alpha 60.00
_cell_angle_beta 60.00
_cell_angle_gamma 60.00
_space_group_name_H-M_alt 'P 1'
_space_group_IT_number 1
loop_
_space_group_symop_operation_xyz
'x,y,z'
loop_
_atom_site_label
_atom_site_fract_x
_atom_site_fract_y
_atom_site_fract_z
Ac1 0.000 0.000 0.000
Zn1 0.750 0.750 0.750
Cd1 0.500 0.500 0.500
Si1 0.250 0.250 0.250



# AlSi3Ni2 | the Alexandria database | PBE-GGA | optimized geometry
# **Final energy**: -5.46 eV/atom
# **ΔE_f (raw)**: -0.20 eV/atom
# **Density of states at the Fermi level**: 4.925 states/eV/cell
# **Crystal system**: trigonal
data_AlSi3Ni2
_cell_length_a 5.677
_cell_length_b 5.677
_cell_length_c 5.554
_cell_angle_alpha 90.00
_cell_angle_beta 90.00
_cell_angle_gamma 120.00
_space_group_name_H-M_alt 'P 1'
_space_group_IT_number 1
loop_
_space_group_symop_operation_xyz
'x,y,z'
loop_
_atom_site_label
_atom_site_fract_x
_atom_site_fract_y
_atom_site_fract_z
Al1 0.333 0.667 0.321
Al2 0.667 0.333 0.679
Si1 0.169 0.338 0.687
Si2 0.169 0.831 0.687
Si3 0.338 0.169 0.313
Si4 0.662 0.831 0.687
Si5 0.831 0.169 0.313
Si6 0.831 0.662 0.313
Ni1 0.000 0.000 0.000
Ni2 0.000 0.500 0.000
Ni3 0.500 0.000 0.000
Ni4 0.500 0.500 0.000



# Cs2HoPbO4 | the Alexandria database | PBE-GGA | optimized geometry
# **Final energy**: -5.56 eV/atom
# **ΔE_f (raw)**: -1.83 eV/atom
# **Density of states at the Fermi level**: 2.358 states/eV/cell
# **Crystal system**: tetragonal
data_Cs2HoPbO4
_cell_length_a 6.581
_cell_length_b 6.581
_cell_length_c 6.581
_cell_angle_alpha 120.82
_cell_angle_beta 120.82
_cell_angle_gamma 88.59
_space_group_name_H-M_alt 'P 1'
_space_group_IT_number 1
loop_
_space_group_symop_operation_xyz
'x,y,z'
loop_
_atom_site_label
_atom_site_fract_x
_atom_site_fract_y
_atom_site_fract_z
Cs1 0.000 0.000 0.000
Cs2 0.750 0.250 0.500
Ho1 0.250 0.750 0.500
Pb1 0.500 0.500 0.000
O1 0.235 0.114 0.604
O2 0.368 0.765 0.878
O3 0.510 0.632 0.396
O4 0.886 0.490 0.122



# InGaHg5 | the Alexandria database | PBE-GGA | optimized geometry
# **Final energy**: -1.00 eV/atom
# **Offset from the most stable computed form**: 0.00 kcal/mol of atoms
# **Density of states at the Fermi level**: 2.547 states/eV/cell
# **Crystal system**: tetragonal
# **Calculated formation energy**: 0.04 eV per atom
data_InGaHg5
_cell_length_a 4.717
_cell_length_b 4.717
_cell_length_c 8.413
_cell_angle_alpha 90.00
_cell_angle_beta 90.00
_cell_angle_gamma 90.00
_space_group_name_H-M_alt 'P 1'
_space_group_IT_number 1
loop_
_space_group_symop_operation_xyz
'x,y,z'
loop_
_atom_site_label
_atom_site_fract_x
_atom_site_fract_y
_atom_site_fract_z
In1 0.000 0.000 0.000
Ga1 0.000 0.000 0.500
Hg1 0.000 0.500 0.288
Hg2 0.000 0.500 0.712
Hg3 0.500 0.000 0.288
Hg4 0.500 0.000 0.712
Hg5 0.500 0.500 0.000



# YbRhO3 | the Alexandria database | PBE-GGA | optimized geometry
# **Final energy**: -6.57 eV/atom
# **ΔE_f (raw)**: -1.82 eV/atom
# **Density of states at the Fermi level**: 55.188 states/eV/cell
# **Crystal system**: orthorhombic
data_YbRhO3
_cell_length_a 5.747
_cell_length_b 7.693
_cell_length_c 5.320
_cell_angle_alpha 90.00
_cell_angle_beta 90.00
_cell_angle_gamma 90.00
_space_group_name_H-M_alt 'P 1'
_space_group_IT_number 1
loop_
_space_group_symop_operation_xyz
'x,y,z'
loop_
_atom_site_label
_atom_site_fract_x
_atom_site_fract_y
_atom_site_fract_z
Yb1 0.079 0.250 0.027
Yb2 0.421 0.750 0.527
Yb3 0.579 0.250 0.473
Yb4 0.921 0.750 0.973
Rh1 0.000 0.000 0.500
Rh2 0.000 0.500 0.500
Rh3 0.500 0.000 0.000
Rh4 0.500 0.500 0.000
O1 0.045 0.750 0.375
O2 0.193 0.560 0.817
O3 0.193 0.940 0.817
O4 0.307 0.060 0.317
O5 0.307 0.440 0.317
O6 0.455 0.250 0.875
O7 0.545 0.750 0.125
O8 0.693 0.560 0.683
O9 0.693 0.940 0.683
O10 0.807 0.060 0.183
O11 0.807 0.440 0.183
O12 0.955 0.250 0.625



# SrPmIn4O8 | the Alexandria database | PBE-GGA | optimized geometry
# **Final energy**: -6.04 eV/atom
# **ΔE_f (raw)**: -1.97 eV/atom
# **Density of states at the Fermi level**: 1.824 states/eV/cell
# **Crystal system**: trigonal
data_SrPmIn4O8
_cell_length_a 6.882
_cell_length_b 6.882
_cell_length_c 6.882
_cell_angle_alpha 58.73
_cell_angle_beta 58.73
_cell_angle_gamma 58.73
_space_group_name_H-M_alt 'P 1'
_space_group_IT_number 1
loop_
_space_group_symop_operation_xyz
'x,y,z'
loop_
_atom_site_label
_atom_site_fract_x
_atom_site_fract_y
_atom_site_fract_z
Sr1 0.000 0.000 0.000
Pm1 0.626 0.626 0.626
In1 0.121 0.626 0.626
In2 0.248 0.248 0.248
In3 0.626 0.121 0.626
In4 0.626 0.626 0.121
O1 0.376 0.376 0.848
O2 0.376 0.848 0.376
O3 0.390 0.390 0.390
O4 0.425 0.865 0.865
O5 0.848 0.376 0.376
O6 0.857 0.857 0.857
O7 0.865 0.425 0.865
O8 0.865 0.865 0.425



# CeTmCdOs | the Alexandria database | PBE-GGA | optimized geometry
# **Final energy**: -5.94 eV/atom
# **Offset from the most stable computed form**: 0.00 kcal/mol of atoms
# **Density of states at the Fermi level**: 3.536 states/eV/cell
# **Crystal system**: tetragonal
# **Calculated formation energy**: -0.30 eV per atom
data_CeTmCdOs
_cell_length_a 3.325
_cell_length_b 3.325
_cell_length_c 8.376
_cell_angle_alpha 90.00
_cell_angle_beta 90.00
_cell_angle_gamma 90.00
_space_group_name_H-M_alt 'P 1'
_space_group_IT_number 1
loop_
_space_group_symop_operation_xyz
'x,y,z'
loop_
_atom_site_label
_atom_site_fract_x
_atom_site_fract_y
_atom_site_fract_z
Ce1 0.000 0.000 0.000
Tm1 0.000 0.000 0.586
Cd1 0.500 0.500 0.305
Os1 0.500 0.500 0.788



# HAuI2 | the Alexandria database | PBE-GGA | optimized geometry
# **Final energy**: -1.58 eV/atom
# **Offset from the most stable computed form**: 12.55 kcal/mol of atoms
# **Density of states at the Fermi level**: 3.450 states/eV/cell
# **Crystal system**: cubic
data_HAuI2
_cell_length_a 5.192
_cell_length_b 5.192
_cell_length_c 5.192
_cell_angle_alpha 60.00
_cell_angle_beta 60.00
_cell_angle_gamma 60.00
_space_group_name_H-M_alt 'P 1'
_space_group_IT_number 1
loop_
_space_group_symop_operation_xyz
'x,y,z'
loop_
_atom_site_label
_atom_site_fract_x
_atom_site_fract_y
_atom_site_fract_z
H1 0.000 0.000 0.000
Au1 0.500 0.500 0.500
I1 0.250 0.250 0.250
I2 0.750 0.750 0.750